## P
A relaxed structure of SmSnPO, computed with PBE.

Lattice parameters (Å, degrees): 4.0268 7.9680 6.2828 90.00 90.00 90.00
Space group Pmc2_1 (No. 26)
Symmetry-distinct sites (fractional):
Sm: 0.0000 0.1682 0.0000 (multiplicity 2)
Sn: 0.5000 0.3687 0.5810 (multiplicity 2)
P: 0.0000 0.1838 0.4559 (multiplicity 2)
O: 0.5000 0.2334 0.8866 (multiplicity 2)

Total moment: 0.01 μB per formula unit
Mass density: 5.21 g/cm3



## Q
A relaxed structure of SmSnPO, computed with PBE.

Lattice parameters (Å, degrees): 5.5774 5.5774 5.1697 90.00 90.00 90.00
Space group P4/nmm (No. 129, origin choice 2)
Symmetry-distinct sites (fractional):
Sm: 0.2500 0.7500 0.0000 (multiplicity 2)
Sn: 0.2500 0.2500 0.4902 (multiplicity 2)
P: 0.2500 0.2500 0.9866 (multiplicity 2)
O: 0.2500 0.7500 0.5000 (multiplicity 2)

Total moment: 0.00 μB per formula unit
Mass density: 6.53 g/cm3



## R
A relaxed structure of SmSnPO, computed with PBE.

Lattice parameters (Å, degrees): 4.1554 4.1554 9.7187 90.00 90.00 90.00
Space group P4/nmm (No. 129, origin choice 2)
Symmetry-distinct sites (fractional):
Sm: 0.2500 0.2500 0.1095 (multiplicity 2)
Sn: 0.2500 0.7500 0.5000 (multiplicity 2)
P: 0.2500 0.2500 0.7198 (multiplicity 2)
O: 0.2500 0.7500 0.0000 (multiplicity 2)

Total moment: 0.00 μB per formula unit
Mass density: 6.25 g/cm3



## S
A relaxed structure of SmSnPO, computed with PBE.

Lattice parameters (Å, degrees): 4.7458 6.2381 6.3001 90.00 90.00 90.00
Space group Pmc2_1 (No. 26)
Symmetry-distinct sites (fractional):
Sm: 0.0000 0.1695 0.0000 (multiplicity 2)
Sn: 0.5000 0.2757 0.3715 (multiplicity 2)
P: 0.5000 0.2959 0.7817 (multiplicity 2)
O: 0.0000 0.1508 0.3591 (multiplicity 2)

Total moment: 0.00 μB per formula unit
Mass density: 5.63 g/cm3



Most stable = P



## P
A relaxed structure of SmTaPO, computed with PBE.

Lattice parameters (Å, degrees): 3.9651 3.9651 8.9410 90.00 90.00 90.00
Space group P4/nmm (No. 129, origin choice 2)
Symmetry-distinct sites (fractional):
Sm: 0.2500 0.2500 0.1305 (multiplicity 2)
Ta: 0.2500 0.7500 0.5000 (multiplicity 2)
P: 0.2500 0.2500 0.6840 (multiplicity 2)
O: 0.2500 0.7500 0.0000 (multiplicity 2)

Total moment: 0.01 μB per formula unit
Mass density: 8.94 g/cm3



## Q
A relaxed structure of SmTaPO, computed with PBE.

Lattice parameters (Å, degrees): 4.1245 4.1245 7.6958 90.00 90.00 90.00
Space group P4/nmm (No. 129, origin choice 2)
Symmetry-distinct sites (fractional):
Sm: 0.2500 0.7500 0.0000 (multiplicity 2)
Ta: 0.2500 0.2500 0.3990 (multiplicity 2)
P: 0.2500 0.2500 0.7424 (multiplicity 2)
O: 0.2500 0.7500 0.5000 (multiplicity 2)

Total moment: 0.03 μB per formula unit
Mass density: 9.60 g/cm3



Most stable = P



## P
A relaxed structure of SmTaPO, computed with PBE.

Lattice parameters (Å, degrees): 4.1671 4.7359 6.7361 90.00 90.00 90.00
Space group Pmc2_1 (No. 26)
Symmetry-distinct sites (fractional):
Sm: 0.0000 0.1562 0.0000 (multiplicity 2)
Ta: 0.5000 0.3567 0.3539 (multiplicity 2)
P: 0.5000 0.1506 0.7033 (multiplicity 2)
O: 0.0000 0.3574 0.3517 (multiplicity 2)

Total moment: 0.01 μB per formula unit
Mass density: 9.45 g/cm3



## Q
A relaxed structure of SmTaPO, computed with PBE.

Lattice parameters (Å, degrees): 3.8758 7.0888 5.8018 90.00 90.00 90.00
Space group Pmc2_1 (No. 26)
Symmetry-distinct sites (fractional):
Sm: 0.0000 0.2147 0.0000 (multiplicity 2)
Ta: 0.5000 0.4032 0.5098 (multiplicity 2)
P: 0.0000 0.1844 0.4854 (multiplicity 2)
O: 0.5000 0.3330 0.8539 (multiplicity 2)

Total moment: 0.02 μB per formula unit
Mass density: 7.88 g/cm3



Most stable = P



## P
A relaxed structure of TbSmPO, computed with PBE.

Lattice parameters (Å, degrees): 4.2105 7.7511 5.5433 90.00 90.00 90.00
Space group Pmc2_1 (No. 26)
Symmetry-distinct sites (fractional):
Tb: 0.0000 0.2044 0.0000 (multiplicity 2)
Sm: 0.5000 0.3696 0.5276 (multiplicity 2)
P: 0.0000 0.1504 0.4993 (multiplicity 2)
O: 0.5000 0.3271 0.9702 (multiplicity 2)

Total moment: 0.01 μB per formula unit
Mass density: 6.54 g/cm3



## Q
A relaxed structure of TbSmPO, computed with PBE.

Lattice parameters (Å, degrees): 4.3294 4.3294 8.7903 90.00 90.00 90.00
Space group P4/nmm (No. 129, origin choice 2)
Symmetry-distinct sites (fractional):
Tb: 0.2500 0.2500 0.1006 (multiplicity 2)
Sm: 0.2500 0.7500 0.5000 (multiplicity 2)
P: 0.2500 0.2500 0.7036 (multiplicity 2)
O: 0.2500 0.7500 0.0000 (multiplicity 2)

Total moment: 0.02 μB per formula unit
Mass density: 7.18 g/cm3



Most stable = P



## P
A relaxed structure of SmTcPO, computed with PBE.

Lattice parameters (Å, degrees): 4.2261 4.2261 8.8741 90.00 90.00 90.00
Space group P4/nmm (No. 129, origin choice 2)
Symmetry-distinct sites (fractional):
Sm: 0.2500 0.7500 0.0000 (multiplicity 2)
Tc: 0.2500 0.2500 0.4660 (multiplicity 2)
P: 0.2500 0.2500 0.2163 (multiplicity 2)
O: 0.2500 0.7500 0.5000 (multiplicity 2)

Total moment: 0.11 μB per formula unit
Mass density: 6.19 g/cm3



## Q
A relaxed structure of SmTcPO, computed with PBE.

Lattice parameters (Å, degrees): 3.9844 3.9844 8.3643 90.00 90.00 90.00
Space group P4/nmm (No. 129, origin choice 2)
Symmetry-distinct sites (fractional):
Sm: 0.2500 0.2500 0.1375 (multiplicity 2)
Tc: 0.2500 0.7500 0.5000 (multiplicity 2)
P: 0.2500 0.2500 0.6561 (multiplicity 2)
O: 0.2500 0.7500 0.0000 (multiplicity 2)

Total moment: 0.06 μB per formula unit
Mass density: 7.39 g/cm3



## R
A relaxed structure of SmTcPO, computed with PBE.

Lattice parameters (Å, degrees): 4.4136 4.2402 6.7399 90.00 90.00 90.00
Space group Pmc2_1 (No. 26)
Symmetry-distinct sites (fractional):
Sm: 0.0000 0.2105 0.0000 (multiplicity 2)
Tc: 0.5000 0.3004 0.3459 (multiplicity 2)
P: 0.5000 0.2007 0.6861 (multiplicity 2)
O: 0.0000 0.2953 0.3414 (multiplicity 2)

Total moment: 0.03 μB per formula unit
Mass density: 7.78 g/cm3



Most stable = Q



## P
A relaxed structure of TcSnPO, computed with PBE.

Lattice parameters (Å, degrees): 3.7575 3.7575 10.2752 90.00 90.00 90.00
Space group P4/nmm (No. 129, origin choice 2)
Symmetry-distinct sites (fractional):
Tc: 0.2500 0.7500 0.0000 (multiplicity 2)
Sn: 0.2500 0.2500 0.3833 (multiplicity 2)
P: 0.2500 0.2500 0.8495 (multiplicity 2)
O: 0.2500 0.7500 0.5000 (multiplicity 2)

Total moment: 0.19 μB per formula unit
Mass density: 6.04 g/cm3



## Q
A relaxed structure of TcSnPO, computed with PBE.

Lattice parameters (Å, degrees): 4.1506 4.1506 9.2335 90.00 90.00 90.00
Space group P4/nmm (No. 129, origin choice 2)
Symmetry-distinct sites (fractional):
Tc: 0.2500 0.2500 0.0450 (multiplicity 2)
Sn: 0.2500 0.7500 0.5000 (multiplicity 2)
P: 0.2500 0.2500 0.2763 (multiplicity 2)
O: 0.2500 0.7500 0.0000 (multiplicity 2)

Total moment: 0.01 μB per formula unit
Mass density: 5.51 g/cm3



Most stable = P



## P
A relaxed structure of TmSnPO, computed with PBE.

Lattice parameters (Å, degrees): 4.0295 4.0295 9.6868 90.00 90.00 90.00
Space group P4/nmm (No. 129, origin choice 2)
Symmetry-distinct sites (fractional):
Tm: 0.2500 0.2500 0.1010 (multiplicity 2)
Sn: 0.2500 0.7500 0.5000 (multiplicity 2)
P: 0.2500 0.2500 0.7283 (multiplicity 2)
O: 0.2500 0.7500 0.0000 (multiplicity 2)

Total moment: 0.01 μB per formula unit
Mass density: 7.07 g/cm3



## Q
A relaxed structure of TmSnPO, computed with PBE.

Lattice parameters (Å, degrees): 3.8661 8.8110 5.6954 90.00 90.00 90.00
Space group Pmc2_1 (No. 26)
Symmetry-distinct sites (fractional):
Tm: 0.0000 0.1533 0.0000 (multiplicity 2)
Sn: 0.5000 0.3494 0.5907 (multiplicity 2)
P: 0.0000 0.1590 0.4905 (multiplicity 2)
O: 0.5000 0.2492 0.9528 (multiplicity 2)

Total moment: 0.00 μB per formula unit
Mass density: 5.73 g/cm3



## R
A relaxed structure of TmSnPO, computed with PBE.

Lattice parameters (Å, degrees): 4.4059 6.5738 6.1836 90.00 90.00 90.00
Space group Pmc2_1 (No. 26)
Symmetry-distinct sites (fractional):
Tm: 0.0000 0.1463 0.0000 (multiplicity 2)
Sn: 0.5000 0.2986 0.3692 (multiplicity 2)
P: 0.5000 0.2934 0.7886 (multiplicity 2)
O: 0.0000 0.1375 0.3508 (multiplicity 2)

Total moment: 0.00 μB per formula unit
Mass density: 6.20 g/cm3



## S
A relaxed structure of TmSnPO, computed with PBE.

Lattice parameters (Å, degrees): 5.4452 5.4452 5.1228 90.00 90.00 90.00
Space group P4/nmm (No. 129, origin choice 2)
Symmetry-distinct sites (fractional):
Tm: 0.2500 0.7500 0.0000 (multiplicity 2)
Sn: 0.2500 0.2500 0.5003 (multiplicity 2)
P: 0.2500 0.2500 0.0011 (multiplicity 2)
O: 0.2500 0.7500 0.5000 (multiplicity 2)

Total moment: 0.00 μB per formula unit
Mass density: 7.32 g/cm3



Most stable = Q



## P
A relaxed structure of SrTaPO, computed with PBE.

Lattice parameters (Å, degrees): 3.9069 6.3695 6.6198 90.00 90.00 90.00
Space group Pmc2_1 (No. 26)
Symmetry-distinct sites (fractional):
Sr: 0.0000 0.2340 0.0000 (multiplicity 2)
Ta: 0.5000 0.2326 0.4646 (multiplicity 2)
P: 0.5000 0.4817 0.7316 (multiplicity 2)
O: 0.0000 0.1611 0.4495 (multiplicity 2)

Total moment: 0.00 μB per formula unit
Mass density: 6.36 g/cm3



## Q
A relaxed structure of SrTaPO, computed with PBE.

Lattice parameters (Å, degrees): 4.1950 4.1950 7.9253 90.00 90.00 90.00
Space group P4/nmm (No. 129, origin choice 2)
Symmetry-distinct sites (fractional):
Sr: 0.2500 0.7500 0.0000 (multiplicity 2)
Ta: 0.2500 0.2500 0.4170 (multiplicity 2)
P: 0.2500 0.2500 0.7429 (multiplicity 2)
O: 0.2500 0.7500 0.5000 (multiplicity 2)

Total moment: 0.02 μB per formula unit
Mass density: 7.51 g/cm3



## R
A relaxed structure of SrTaPO, computed with PBE.

Lattice parameters (Å, degrees): 4.1971 4.1971 9.4705 90.00 90.00 90.00
Space group P4/nmm (No. 129, origin choice 2)
Symmetry-distinct sites (fractional):
Sr: 0.2500 0.2500 0.1164 (multiplicity 2)
Ta: 0.2500 0.7500 0.5000 (multiplicity 2)
P: 0.2500 0.2500 0.6458 (multiplicity 2)
O: 0.2500 0.7500 0.0000 (multiplicity 2)

Total moment: 0.00 μB per formula unit
Mass density: 6.28 g/cm3



Most stable = P